(1)
8
Lattice="3.610 0.000 0.000 0.000 5.120 0.000 0.000 0.000 10.309" Properties=species:S:1:pos:R:3 comment="TbThZn2, relaxed, DFT PBE" final_energy_ev_per_atom=-3.900 formation_enthalpy_0k_ev_per_atom=-0.2509 pbc="T T T"
Zn 0.000 1.280 6.588
Zn 0.000 3.840 9.041
Zn 0.000 3.840 3.721
Zn 0.000 1.280 1.268
Th 1.805 1.280 3.901
Th 1.805 3.840 6.408
Tb 1.805 3.840 1.247
Tb 1.805 1.280 9.062

(2)
20
Lattice="-1.170 -1.142 2.178 -2.351 -6.846 -4.851 7.510 -3.964 1.954" Properties=species:S:1:pos:R:3 comment="Zn2FeCo5B2, relaxed, DFT PBE" final_energy_ev_per_atom=-6.100 formation_enthalpy_0k_ev_per_atom=-0.1106 pbc="T T T"
Co 5.135 -4.136 2.291
Co 0.977 -7.196 -1.546
Co -1.145 -7.817 -3.010
Co 3.013 -4.756 0.827
Co 4.578 -9.626 -0.886
Co 3.170 -2.553 2.066
Co 0.521 -4.652 -0.457
Co -0.589 -2.327 0.167
Co -1.760 -3.994 -1.337
Co 3.468 -7.300 -0.262
B 4.397 -3.326 0.617
B 0.051 -3.065 -1.579
B 0.762 -7.484 -3.514
B 5.108 -7.746 -1.318
Zn -0.256 -5.349 -2.942
Zn 3.161 -8.315 -2.662
Zn 5.415 -5.461 0.045
Zn 1.998 -2.496 -0.236
Fe 2.580 -5.405 -1.449
Fe 0.000 0.000 0.000

(3)
5
Lattice="4.435 0.000 0.000 0.000 4.435 0.000 0.000 0.000 4.435" Properties=species:S:1:pos:R:3 comment="VMo3Ru, relaxed, DFT PBE" polymorph_energy_mev_per_atom=0 final_energy_ev_per_atom=-8.774 formation_enthalpy_0k_ev_per_atom=1.4035 pbc="T T T"
Mo 0.000 0.000 2.217
Mo 0.000 2.217 0.000
Mo 2.217 0.000 0.000
V 0.000 0.000 0.000
Ru 2.217 2.217 2.217

(4)
6
Lattice="-1.330 -0.729 -2.889 5.867 0.520 -0.905 4.179 -6.850 1.809" Properties=species:S:1:pos:R:3 comment="NaLiCd, relaxed, DFT PBE" polymorph_energy_mev_per_atom=13 final_energy_ev_per_atom=-1.487 formation_enthalpy_0k_ev_per_atom=-0.1047 pbc="T T T"
Na 4.994 -6.285 0.370
Na 3.722 -0.774 -2.354
Cd 0.954 -2.634 -2.461
Cd 7.762 -4.426 0.477
Li 5.676 -2.877 -0.821
Li 3.040 -4.183 -1.163

(5)
4
Lattice="-1.007 -2.632 -2.402 3.529 -1.086 -0.290 -0.992 -4.711 5.578" Properties=species:S:1:pos:R:3 comment="SrLi2Mn, relaxed, DFT PBE" polymorph_energy_mev_per_atom=29 final_energy_ev_per_atom=-3.283 formation_enthalpy_0k_ev_per_atom=0.3865 pbc="T T T"
Mn 1.013 -3.037 0.048
Li -0.427 -2.028 2.402
Li -0.069 -0.327 0.387
Sr 0.517 -5.392 2.837

(6)
12
Lattice="3.888 0.000 0.000 0.000 8.189 0.223 -1.944 -2.431 8.448" Properties=species:S:1:pos:R:3 comment="Tm6AlSe3S2, relaxed, DFT PBE" formation_energy_uncorrected_kj_per_mol_atoms=-146.4 final_energy_ev_per_atom=-5.624 pbc="T T T"
S 0.000 1.937 2.936
S 1.944 3.821 5.735
Tm 0.000 5.774 5.866
Tm 1.944 3.715 8.543
Tm 0.000 1.923 5.646
Tm 1.944 -0.016 2.805
Tm 0.000 2.042 0.127
Tm 1.944 3.835 3.025
Se 0.000 5.968 3.025
Se 1.944 4.094 0.112
Se 1.944 -0.211 5.646
Al 1.944 0.000 0.000

(7)
12
Lattice="-4.352 2.649 3.293 -1.461 -3.131 -4.987 0.886 -9.334 6.825" Properties=species:S:1:pos:R:3 comment="Pm2Ho3Er6Zr, relaxed, DFT PBE" final_energy_ev_per_atom=-4.880 formation_enthalpy_0k_ev_per_atom=0.0503 pbc="T T T"
Er -3.244 -8.331 2.507
Er -1.682 -1.484 2.624
Er -0.738 -3.372 -0.080
Er -4.177 -2.669 0.404
Er -0.749 -7.146 4.726
Er -4.188 -6.443 5.210
Zr 0.000 0.000 0.000
Ho -3.428 -2.979 5.328
Ho -2.463 -4.907 2.565
Ho -1.498 -6.836 -0.197
Pm -3.389 0.724 0.535
Pm -2.424 -1.205 -2.229

(8)
4
Lattice="-4.378 1.056 2.942 -4.604 -0.407 -2.752 4.301 -3.166 0.643" Properties=species:S:1:pos:R:3 comment="Cd2PAu, relaxed, DFT PBE" final_energy_ev_per_atom=-2.467 formation_enthalpy_0k_ev_per_atom=0.1628 pbc="T T T"
P -4.491 0.324 0.095
Cd -2.397 -1.624 -1.007
Cd 0.000 0.000 0.000
Au -2.284 -0.893 1.840